1.
Compound: MgPPd5
Source: Alexandria via LeMat-Bulk
Functional: PBE
Structure: optimized geometry

Summary:
V, Å³/atom: 15.5
Magnetic moment, μB per cell: 0.00
DFT formation energy, eV/atom: -0.58
Distance to the lowest polymorph of the same formula, meV/atom: 0

Cell: 3.943 3.943 6.958 Å, 90.00 90.00 90.00°
Element x y z (fractional)
Mg 0.000 0.000 0.000
P 0.500 0.500 0.500
Pd 0.000 0.500 0.296
Pd 0.000 0.500 0.704
Pd 0.500 0.000 0.296
Pd 0.500 0.000 0.704
Pd 0.500 0.500 0.000

***

2.
Compound: Mg2P2Pd3
Source: Alexandria via LeMat-Bulk
Functional: PBE
Structure: optimized geometry

Summary:
V, Å³/atom: 16.1
Magnetic moment, μB per cell: 0.00
DFT formation energy, eV/atom: -0.58

Cell: 5.338 5.338 6.700 Å, 112.94 112.94 40.46°
Element x y z (fractional)
Mg 0.115 0.115 0.264
Mg 0.885 0.885 0.736
P 0.161 0.161 0.704
P 0.839 0.839 0.296
Pd 0.371 0.371 0.044
Pd 0.500 0.500 0.500
Pd 0.629 0.629 0.956

***

3.
Compound: Mg3PPd6
Source: Alexandria via LeMat-Bulk
Functional: PBE
Structure: optimized geometry

Summary:
V, Å³/atom: 16.6
Magnetic moment, μB per cell: 0.00
DFT formation energy, eV/atom: -0.49

Cell: 5.452 7.248 9.957 Å, 90.00 122.58 90.00°
Element x y z (fractional)
Mg 0.000 0.000 0.000
Mg 0.000 0.500 0.500
Mg 0.114 0.123 0.747
Mg 0.114 0.377 0.247
Mg 0.886 0.623 0.753
Mg 0.886 0.877 0.253
P 0.500 0.000 0.500
P 0.500 0.500 0.000
Pd 0.101 0.159 0.472
Pd 0.101 0.341 0.972
Pd 0.376 0.680 0.463
Pd 0.376 0.820 0.963
Pd 0.484 0.093 0.269
Pd 0.484 0.407 0.769
Pd 0.516 0.593 0.231
Pd 0.516 0.907 0.731
Pd 0.624 0.180 0.037
Pd 0.624 0.320 0.537
Pd 0.899 0.659 0.028
Pd 0.899 0.841 0.528

***

4.
Compound: Mg3PPd
Source: Alexandria via LeMat-Bulk
Functional: PBE
Structure: optimized geometry

Summary:
V, Å³/atom: 23.2
Magnetic moment, μB per cell: 0.00
DFT formation energy, eV/atom: 0.07
Distance to the lowest polymorph of the same formula, meV/atom: 137

Cell: 4.879 4.879 4.879 Å, 90.00 90.00 90.00°
Element x y z (fractional)
Mg 0.000 0.000 0.500
Mg 0.000 0.500 0.000
Mg 0.500 0.000 0.000
P 0.500 0.500 0.500
Pd 0.000 0.000 0.000